Compound: CdCoReNi2
Source: Alexandria
Functional: GGA-PBE
Structure: relaxed

- ΔH_f (0 K) (eV/atom) = 2.091
- raw total energy (eV/atom) = -4.315

abc: 4.5111 4.5702 4.5111
angles: 90.00 90.00 90.00
Fractional coordinates of all 5 atoms:
Co: 0.0000 0.5000 0.0000
Ni: 0.0000 0.0000 0.5000
Ni: 0.5000 0.0000 0.0000
Re: 0.5000 0.5000 0.5000
Cd: 0.0000 0.0000 0.0000